No. 1
Mn3MoRh | Alexandria via LeMat-Bulk | PBE | optimized geometry; energy of formation from the pure elements = 6.508 eV per formula unit; polymorph energy (0 for the lowest one) = 0.000 eV/atom; space-group type = Pm-3m, No. 221; calculated density = 5.86 g/cm³
1.0
-2.9677 1.6886 3.2120
3.0413 -1.1063 3.3915
1.9797 4.2309 -0.3951
Mo Mn Rh
1 3 1
Direct
0.5000 0.5000 0.5000
0.0000 0.5000 0.0000
0.5000 0.0000 0.0000
0.0000 0.0000 0.5000
0.0000 0.0000 0.0000



No. 2
Ac6NdDy | Alexandria via LeMat-Bulk | PBE | optimized geometry; energy of formation from the pure elements = 0.229 eV per formula unit; polymorph energy (0 for the lowest one) = 0.000 eV/atom; space-group type = P4/mmm, No. 123; calculated density = 8.28 g/cm³
1.0
5.5080 0.0000 0.0000
0.0000 5.5080 0.0000
0.0000 0.0000 11.0265
Ac Dy Nd
6 1 1
Direct
0.0000 0.5000 0.2518
0.0000 0.5000 0.7482
0.5000 0.0000 0.7482
0.5000 0.5000 0.0000
0.5000 0.0000 0.2518
0.5000 0.5000 0.5000
0.0000 0.0000 0.5000
0.0000 0.0000 0.0000